[1]
Material: CeU2RhN4
Method: DFT, PBE
State: optimized geometry

```
data_CeU2RhN4
_chemical_formula_sum 'Ce4 U8 Rh4 N16'
_symmetry_space_group_name_H-M 'C m c m'
_symmetry_Int_Tables_number 63
_symmetry_space_group_name_Hall '-C 2c 2'
_cell_length_a 3.505
_cell_length_b 11.341
_cell_length_c 11.578
_cell_angle_alpha 90.00
_cell_angle_beta 90.00
_cell_angle_gamma 90.00
loop_
_atom_site_label
_atom_site_type_symbol
_atom_site_fract_x
_atom_site_fract_y
_atom_site_fract_z
_atom_site_occupancy
Ce1 Ce 0.000 0.109 0.250 1
U1 U 0.000 0.372 0.059 1
Rh1 Rh 0.000 0.160 0.750 1
N1 N 0.000 0.000 0.000 1
N2 N 0.000 0.270 0.600 1
N3 N 0.000 0.464 0.250 1
```

Properties
The raw total energy is -9.759 eV/atom. For the raw formation energy, the calculation gives -1.11 eV per atom. The density of states at the Fermi level is 34.000 states/eV per cell. As for the total magnetization: 11.60 μB/cell.

[2]
Material: Ce2URhN5
Method: DFT, PBE
State: optimized geometry

```
data_Ce2URhN5
_chemical_formula_sum 'Ce8 U4 Rh4 N20'
_symmetry_space_group_name_H-M 'C m c 21'
_symmetry_Int_Tables_number 36
_cell_length_a 3.478
_cell_length_b 13.217
_cell_length_c 10.677
_cell_angle_alpha 90.00
_cell_angle_beta 90.00
_cell_angle_gamma 90.00
loop_
_symmetry_equiv_pos_as_xyz
'x,y,z'
'-x,-y,z+1/2'
'-x,y,z'
'x,-y,z+1/2'
'x+1/2,y+1/2,z'
'-x+1/2,-y+1/2,z+1/2'
'-x+1/2,y+1/2,z'
'x+1/2,-y+1/2,z+1/2'
loop_
_atom_site_label
_atom_site_type_symbol
_atom_site_fract_x
_atom_site_fract_y
_atom_site_fract_z
_atom_site_occupancy
Ce1 Ce 0.000 0.099 0.000 1
Ce2 Ce 0.000 0.138 0.617 1
U1 U 0.000 0.205 0.326 1
Rh1 Rh 0.000 0.477 0.764 1
N1 N 0.000 0.052 0.383 1
N2 N 0.000 0.276 0.963 1
N3 N 0.000 0.321 0.693 1
N4 N 0.000 0.365 0.305 1
N5 N 0.000 0.485 0.083 1
```

Properties
The raw total energy is -9.053 eV/atom. For the raw formation energy, the calculation gives -1.04 eV per atom. The density of states at the Fermi level is 22.942 states/eV per cell. As for the total magnetization: 0.18 μB/cell.

> Number 1 is which compound?

CeU2RhN4